[1]
This record from Alexandria via LeMat-Bulk describes a relaxed structure of LaLuRu. The functional is GGA-PBE.

Output
- E_form: -0.73 eV/f.u.
- Magnetization: 0.0 μB per formula unit
- Fermi-level density of states: 8.0 states/eV/cell

```
data_LaLuRu
_cell_length_a 6.849
_cell_length_b 6.849
_cell_length_c 6.849
_cell_angle_alpha 90.00
_cell_angle_beta 90.00
_cell_angle_gamma 90.00
_symmetry_space_group_name_H-M 'F -4 3 m'
_symmetry_Int_Tables_number 216
_symmetry_space_group_name_Hall 'F -4 2 3'
loop_
_atom_site_label
_atom_site_fract_x
_atom_site_fract_y
_atom_site_fract_z
La1 0.000 0.000 0.000
Lu1 0.000 0.000 0.500
Ru1 0.250 0.250 0.750
```

[2]
This record from Alexandria via LeMat-Bulk describes a relaxed structure of La2LuRu. The functional is GGA-PBE.

Output
- E_form: 0.68 eV/f.u.
- Magnetization: 0.0 μB per formula unit
- Fermi-level density of states: 13.8 states/eV/cell

```
data_La2LuRu
_cell_length_a 3.7783
_cell_length_b 3.7783
_cell_length_c 31.3448
_cell_angle_alpha 90.00
_cell_angle_beta 90.00
_cell_angle_gamma 120.00
_symmetry_space_group_name_H-M 'R -3 m'
_symmetry_Int_Tables_number 166
_symmetry_space_group_name_Hall '-R 3 2"'
loop_
_atom_site_label
_atom_site_fract_x
_atom_site_fract_y
_atom_site_fract_z
La1 0.0000 0.0000 0.1104
Lu1 0.0000 0.0000 0.0000
Ru1 0.0000 0.0000 0.5000
```

[3]
This record from Alexandria via LeMat-Bulk describes a relaxed structure of LaLuRu. The functional is GGA-PBE.

Output
- E_form: -0.89 eV/f.u.
- Magnetization: 0.0 μB per formula unit
- Fermi-level density of states: 3.2 states/eV/cell

```
data_LaLuRu
_cell_length_a 3.426
_cell_length_b 3.426
_cell_length_c 13.298
_cell_angle_alpha 90.00
_cell_angle_beta 90.00
_cell_angle_gamma 90.00
_symmetry_space_group_name_H-M 'I 4 m m'
_symmetry_Int_Tables_number 107
_symmetry_space_group_name_Hall 'I 4 -2'
loop_
_atom_site_label
_atom_site_fract_x
_atom_site_fract_y
_atom_site_fract_z
La1 0.000 0.000 0.000
Lu1 0.000 0.000 0.252
Ru1 0.000 0.000 0.637
```

[4]
This record from Alexandria via LeMat-Bulk describes a relaxed structure of LaLuZnRu. The functional is GGA-PBE.

Output
- E_form: -1.15 eV/f.u.
- Magnetization: 0.0 μB per formula unit
- Fermi-level density of states: 12.8 states/eV/cell

```
data_LaLuZnRu
_cell_length_a 7.065
_cell_length_b 7.065
_cell_length_c 7.065
_cell_angle_alpha 90.00
_cell_angle_beta 90.00
_cell_angle_gamma 90.00
_symmetry_space_group_name_H-M 'F -4 3 m'
_symmetry_Int_Tables_number 216
_symmetry_space_group_name_Hall 'F -4 2 3'
loop_
_atom_site_label
_atom_site_fract_x
_atom_site_fract_y
_atom_site_fract_z
La1 0.000 0.000 0.000
Lu1 0.000 0.000 0.500
Zn1 0.250 0.250 0.750
Ru1 0.250 0.250 0.250
```

[5]
This record from Alexandria via LeMat-Bulk describes a relaxed structure of LaLu3S6. The functional is GGA-PBE.

Output
- Formation energy from raw total energies: -2.114 eV per atom
- Magnetization: 0.0 μB per formula unit

```
data_LaLu3S6
_cell_length_a 10.975
_cell_length_b 3.955
_cell_length_c 11.218
_cell_angle_alpha 90.00
_cell_angle_beta 108.99
_cell_angle_gamma 90.00
_symmetry_space_group_name_H-M 'P 1 21/m 1'
_symmetry_Int_Tables_number 11
loop_
_symmetry_equiv_pos_as_xyz
'x,y,z'
'-x,-y,-z'
'-x,y+1/2,-z'
'x,-y+1/2,z'
loop_
_atom_site_label
_atom_site_fract_x
_atom_site_fract_y
_atom_site_fract_z
La1 0.052 0.250 0.197
Lu1 0.161 0.250 0.589
Lu2 0.322 0.750 0.000
Lu3 0.446 0.250 0.334
S1 0.082 0.750 0.410
S2 0.123 0.250 0.964
S3 0.200 0.750 0.749
S4 0.272 0.750 0.231
S5 0.392 0.250 0.556
S6 0.478 0.250 0.111
```

[6]
This record from Alexandria via LeMat-Bulk describes a relaxed structure of LaLuSb. The functional is GGA-PBE.

Output
- Formation energy from raw total energies: -0.628 eV per atom
- Magnetization: 1.0 μB per formula unit
- Fermi-level density of states: 4.8 states/eV/cell

```
data_LaLuSb
_cell_length_a 4.003
_cell_length_b 4.003
_cell_length_c 11.317
_cell_angle_alpha 90.00
_cell_angle_beta 90.00
_cell_angle_gamma 90.00
_symmetry_space_group_name_H-M 'I 4 m m'
_symmetry_Int_Tables_number 107
_symmetry_space_group_name_Hall 'I 4 -2'
loop_
_atom_site_label
_atom_site_fract_x
_atom_site_fract_y
_atom_site_fract_z
La1 0.000 0.000 0.000
Lu1 0.000 0.000 0.704
Sb1 0.000 0.000 0.326
```